No. 1
{
  "formula": "Tb2TaCrN5",
  "functional": "GGA-PBE",
  "state": "optimized geometry",
  "e_form_raw_ev_per_atom": -1.180,
  "magnetic_moment_mub_per_fu": 0.3,
  "volume_a3_per_atom": 11.947,
  "dos_at_fermi_per_ev_atom": 0.263,
  "sg": "Cmc2_1",
  "lattice_angstrom": [[-2.391, 0.792, 2.029], [-0.722, -6.703, -0.813], [6.123, -1.611, 7.846]],
  "species": ["N", "Tb", "N", "Ta", "N", "Cr", "N", "N", "Cr", "N", "N", "Tb", "N", "N", "N", "Tb", "Tb", "Ta"],
  "frac_coords": [[0.287, 0.573, 0.652], [0.111, 0.222, 0.693], [0.042, 0.085, 0.040], [0.215, 0.430, 0.012], [0.508, 0.016, 0.288], [0.475, 0.950, 0.458], [0.319, 0.638, 0.377], [0.636, 0.271, 0.501], [0.525, 0.050, 0.958], [0.364, 0.729, 0.001], [0.492, 0.984, 0.788], [0.141, 0.282, 0.303], [0.958, 0.915, 0.540], [0.713, 0.427, 0.152], [0.681, 0.362, 0.877], [0.859, 0.718, 0.803], [0.889, 0.778, 0.193], [0.785, 0.570, 0.512]]
}

No. 2
{
  "formula": "Ta2CrTcN",
  "functional": "GGA-PBE",
  "state": "optimized geometry",
  "e_form_raw_ev_per_atom": -0.421,
  "magnetic_moment_mub_per_fu": 0.0,
  "volume_a3_per_atom": 13.787,
  "dos_at_fermi_per_ev_atom": 0.897,
  "sg": "P4/mmm",
  "lattice_angstrom": [[-1.237, 3.141, -2.768], [0.433, -2.774, -3.342], [-3.451, -1.012, 0.393]],
  "species": ["Tc", "Ta", "Cr", "N", "Ta"],
  "frac_coords": [[0.500, 0.500, 0.500], [0.000, 0.500, 0.000], [0.000, 0.000, 0.500], [0.000, 0.000, 0.000], [0.500, 0.000, 0.000]]
}

No. 3
{
  "formula": "TaCrTe2N",
  "functional": "GGA-PBE",
  "state": "optimized geometry",
  "e_form_raw_ev_per_atom": 0.513,
  "magnetic_moment_mub_per_fu": 3.0,
  "volume_a3_per_atom": 19.766,
  "dos_at_fermi_per_ev_atom": 0.708,
  "sg": "P4/mmm",
  "de_polymorph_mev_per_atom": 207,
  "lattice_angstrom": [[-3.899, 0.218, 3.580], [-3.549, -0.999, -3.804], [0.344, -3.455, 0.586]],
  "species": ["Te", "N", "Te", "Cr", "Ta"],
  "frac_coords": [[0.000, 0.500, 0.000], [0.000, 0.000, 0.500], [0.500, 0.000, 0.000], [0.000, 0.000, 0.000], [0.500, 0.500, 0.500]]
}

No. 4
{
  "formula": "TaCrTe2N",
  "functional": "GGA-PBE",
  "state": "optimized geometry",
  "e_form_raw_ev_per_atom": 0.306,
  "magnetic_moment_mub_per_fu": 4.1,
  "volume_a3_per_atom": 24.068,
  "dos_at_fermi_per_ev_atom": 0.447,
  "sg": "P4/mmm",
  "de_polymorph_mev_per_atom": 0,
  "lattice_angstrom": [[-1.165, 5.199, -1.601], [-2.503, 0.941, 4.878], [3.376, 1.218, 1.497]],
  "species": ["Te", "N", "Te", "Cr", "Ta"],
  "frac_coords": [[0.000, 0.500, 0.000], [0.000, 0.000, 0.500], [0.500, 0.000, 0.000], [0.500, 0.500, 0.500], [0.000, 0.000, 0.000]]
}

No. 5
{
  "formula": "Th2TaCr2N6",
  "functional": "GGA-PBE",
  "state": "optimized geometry",
  "e_form_raw_ev_per_atom": -0.793,
  "magnetic_moment_mub_per_fu": 0.0,
  "volume_a3_per_atom": 13.841,
  "dos_at_fermi_per_ev_atom": 0.519,
  "sg": "R-3m",
  "lattice_angstrom": [[5.826, 0.000, 0.000], [2.913, 5.045, 0.000], [2.913, 1.682, 5.180]],
  "species": ["Ta", "N", "N", "N", "Cr", "N", "Cr", "N", "N", "Th", "Th"],
  "frac_coords": [[0.000, 0.000, 0.000], [0.242, 0.777, 0.738], [0.242, 0.242, 0.738], [0.777, 0.242, 0.738], [0.438, 0.438, 0.686], [0.758, 0.758, 0.262], [0.562, 0.562, 0.314], [0.758, 0.223, 0.262], [0.223, 0.758, 0.262], [0.788, 0.788, 0.636], [0.212, 0.212, 0.364]]
}

No. 6
{
  "formula": "Th2TaCrN5",
  "functional": "GGA-PBE",
  "state": "optimized geometry",
  "e_form_raw_ev_per_atom": -1.219,
  "magnetic_moment_mub_per_fu": 0.7,
  "volume_a3_per_atom": 12.976,
  "dos_at_fermi_per_ev_atom": 0.346,
  "sg": "Cmc2_1",
  "lattice_angstrom": [[3.351, 0.000, 0.000], [-1.675, 6.889, 0.000], [0.000, 0.000, 10.118]],
  "species": ["N", "Th", "N", "N", "N", "N", "N", "Th", "Ta", "N", "Ta", "N", "Th", "N", "Th", "Cr", "N", "Cr"],
  "frac_coords": [[0.684, 0.367, 0.870], [0.137, 0.273, 0.311], [0.042, 0.084, 0.045], [0.316, 0.633, 0.370], [0.499, 0.999, 0.791], [0.958, 0.916, 0.545], [0.294, 0.588, 0.655], [0.881, 0.762, 0.184], [0.197, 0.394, 0.008], [0.501, 0.001, 0.291], [0.803, 0.606, 0.508], [0.650, 0.299, 0.503], [0.119, 0.238, 0.684], [0.350, 0.701, 0.003], [0.863, 0.727, 0.811], [0.452, 0.903, 0.457], [0.706, 0.412, 0.155], [0.548, 0.097, 0.957]]
}

No. 7
{
  "formula": "TbCrN",
  "functional": "GGA-PBE",
  "state": "optimized geometry",
  "e_form_raw_ev_per_atom": -0.037,
  "magnetic_moment_mub_per_fu": 0.0,
  "volume_a3_per_atom": 15.434,
  "dos_at_fermi_per_ev_atom": 1.193,
  "sg": "Amm2",
  "lattice_angstrom": [[-0.273, -3.183, 0.489], [2.881, 1.284, -0.712], [1.853, 1.374, 9.967]],
  "species": ["Tb", "N", "Cr", "Tb", "N", "Cr"],
  "frac_coords": [[0.279, 0.558, 0.851], [0.612, 0.224, 0.000], [0.610, 0.220, 0.595], [0.279, 0.558, 0.149], [0.277, 0.553, 0.500], [0.610, 0.220, 0.405]]
}

No. 8
{
  "formula": "TbCrN3",
  "functional": "GGA-PBE",
  "state": "optimized geometry",
  "e_form_raw_ev_per_atom": -0.838,
  "magnetic_moment_mub_per_fu": 0.0,
  "volume_a3_per_atom": 13.571,
  "sg": "C2/c",
  "lattice_angstrom": [[5.704, -0.133, 1.423], [1.473, 6.702, 1.264], [-0.115, -0.701, 6.941]],
  "species": ["Cr", "N", "N", "Cr", "Cr", "Cr", "N", "Tb", "Tb", "N", "Tb", "Tb", "N", "N", "N", "N", "N", "N", "N", "N"],
  "frac_coords": [[0.751, 0.200, 0.379], [0.842, 0.001, 0.229], [0.351, 0.873, 0.394], [0.749, 0.621, 0.800], [0.251, 0.379, 0.200], [0.249, 0.800, 0.621], [0.997, 0.326, 0.377], [0.250, 0.909, 0.091], [0.750, 0.091, 0.909], [0.503, 0.623, 0.674], [0.750, 0.669, 0.331], [0.250, 0.331, 0.669], [0.497, 0.377, 0.326], [0.649, 0.127, 0.606], [0.658, 0.771, 0.999], [0.851, 0.394, 0.873], [0.342, 0.229, 0.001], [0.003, 0.674, 0.623], [0.158, 0.999, 0.771], [0.149, 0.606, 0.127]]
}

No. 9
{
  "formula": "Tb2ThCrN4",
  "functional": "GGA-PBE",
  "state": "optimized geometry",
  "e_form_raw_ev_per_atom": -1.248,
  "magnetic_moment_mub_per_fu": 2.2,
  "volume_a3_per_atom": 14.430,
  "dos_at_fermi_per_ev_atom": 0.413,
  "sg": "Cmcm",
  "lattice_angstrom": [[3.413, 0.000, 0.000], [-1.706, 5.787, 0.000], [0.000, 0.000, 11.691]],
  "species": ["Tb", "N", "N", "N", "Th", "Cr", "Tb", "Cr", "Th", "Tb", "N", "N", "N", "N", "Tb", "N"],
  "frac_coords": [[0.631, 0.262, 0.046], [0.271, 0.543, 0.368], [0.729, 0.457, 0.632], [0.000, 0.000, 0.000], [0.102, 0.204, 0.750], [0.160, 0.321, 0.250], [0.369, 0.738, 0.954], [0.840, 0.679, 0.750], [0.898, 0.796, 0.250], [0.631, 0.262, 0.454], [0.271, 0.543, 0.132], [0.564, 0.128, 0.250], [0.000, 0.000, 0.500], [0.436, 0.872, 0.750], [0.369, 0.738, 0.546], [0.729, 0.457, 0.868]]
}

No. 10
{
  "formula": "TbTh2CrN4",
  "functional": "GGA-PBE",
  "state": "optimized geometry",
  "e_form_raw_ev_per_atom": -1.124,
  "magnetic_moment_mub_per_fu": 3.1,
  "volume_a3_per_atom": 15.457,
  "dos_at_fermi_per_ev_atom": 0.436,
  "sg": "Cmcm",
  "lattice_angstrom": [[3.445, 0.000, 0.000], [-1.723, 5.900, 0.000], [0.000, 0.000, 12.166]],
  "species": ["N", "N", "Th", "N", "N", "Th", "Tb", "N", "Th", "Th", "N", "Cr", "Cr", "N", "N", "Tb"],
  "frac_coords": [[0.440, 0.881, 0.750], [0.723, 0.446, 0.867], [0.367, 0.734, 0.948], [0.000, 0.000, 0.000], [0.277, 0.554, 0.133], [0.633, 0.266, 0.448], [0.109, 0.217, 0.750], [0.560, 0.119, 0.250], [0.633, 0.266, 0.052], [0.367, 0.734, 0.552], [0.000, 0.000, 0.500], [0.839, 0.678, 0.750], [0.161, 0.322, 0.250], [0.723, 0.446, 0.633], [0.277, 0.554, 0.367], [0.891, 0.783, 0.250]]
}

No. 11
{
  "formula": "Tb2VCrN5",
  "functional": "GGA-PBE",
  "state": "optimized geometry",
  "e_form_raw_ev_per_atom": -1.076,
  "magnetic_moment_mub_per_fu": 2.0,
  "volume_a3_per_atom": 11.903,
  "dos_at_fermi_per_ev_atom": 0.075,
  "sg": "Cmc2_1",
  "lattice_angstrom": [[-1.160, -1.330, 2.714], [3.062, -5.289, -3.214], [8.452, 2.079, 4.632]],
  "species": ["Tb", "Tb", "Cr", "Tb", "N", "V", "N", "N", "N", "N", "N", "N", "V", "N", "N", "Cr", "Tb", "N"],
  "frac_coords": [[0.115, 0.229, 0.674], [0.863, 0.727, 0.816], [0.787, 0.575, 0.534], [0.885, 0.771, 0.174], [0.651, 0.302, 0.507], [0.441, 0.883, 0.442], [0.314, 0.629, 0.381], [0.045, 0.089, 0.033], [0.955, 0.911, 0.533], [0.496, 0.992, 0.785], [0.504, 0.008, 0.285], [0.349, 0.698, 0.007], [0.559, 0.117, 0.942], [0.708, 0.417, 0.151], [0.686, 0.371, 0.881], [0.213, 0.425, 0.034], [0.137, 0.273, 0.316], [0.292, 0.583, 0.651]]
}

No. 12
{
  "formula": "Tb2CrWN5",
  "functional": "GGA-PBE",
  "state": "optimized geometry",
  "e_form_raw_ev_per_atom": -0.963,
  "magnetic_moment_mub_per_fu": 0.0,
  "volume_a3_per_atom": 11.700,
  "dos_at_fermi_per_ev_atom": 0.275,
  "sg": "Cmc2_1",
  "lattice_angstrom": [[3.197, 0.000, 0.000], [-1.598, 6.477, 0.000], [0.000, 0.000, 10.171]],
  "species": ["N", "N", "Cr", "Tb", "Cr", "Tb", "N", "W", "N", "N", "N", "Tb", "N", "W", "Tb", "N", "N", "N"],
  "frac_coords": [[0.681, 0.362, 0.877], [0.490, 0.979, 0.788], [0.480, 0.960, 0.463], [0.144, 0.289, 0.295], [0.520, 0.040, 0.963], [0.856, 0.711, 0.795], [0.319, 0.638, 0.377], [0.782, 0.564, 0.511], [0.956, 0.911, 0.545], [0.366, 0.733, 0.000], [0.283, 0.567, 0.647], [0.107, 0.215, 0.700], [0.634, 0.267, 0.500], [0.218, 0.436, 0.011], [0.893, 0.785, 0.200], [0.510, 0.021, 0.288], [0.044, 0.089, 0.045], [0.717, 0.433, 0.147]]
}

No. 13
{
  "formula": "TbY2CrN4",
  "functional": "GGA-PBE",
  "state": "optimized geometry",
  "e_form_raw_ev_per_atom": -1.216,
  "magnetic_moment_mub_per_fu": 2.1,
  "volume_a3_per_atom": 14.028,
  "dos_at_fermi_per_ev_atom": 0.414,
  "sg": "Cmcm",
  "lattice_angstrom": [[-2.752, -0.329, 1.923], [2.460, -5.399, -0.363], [6.375, 2.266, 9.511]],
  "species": ["Cr", "Y", "N", "Tb", "N", "Tb", "Y", "N", "N", "N", "Y", "Y", "Cr", "N", "N", "N"],
  "frac_coords": [[0.158, 0.316, 0.250], [0.631, 0.262, 0.043], [0.433, 0.865, 0.750], [0.109, 0.218, 0.750], [0.267, 0.534, 0.132], [0.891, 0.782, 0.250], [0.369, 0.738, 0.957], [0.733, 0.466, 0.632], [0.733, 0.466, 0.868], [0.567, 0.135, 0.250], [0.369, 0.738, 0.543], [0.631, 0.262, 0.457], [0.842, 0.684, 0.750], [0.000, 0.000, 0.500], [0.000, 0.000, 0.000], [0.267, 0.534, 0.368]]
}

No. 14
{
  "formula": "CrTc2N",
  "functional": "GGA-PBE",
  "state": "optimized geometry",
  "e_form_raw_ev_per_atom": 0.500,
  "magnetic_moment_mub_per_fu": 0.0,
  "volume_a3_per_atom": 14.684,
  "dos_at_fermi_per_ev_atom": 0.786,
  "sg": "I-42d",
  "lattice_angstrom": [[5.114, 0.000, 0.000], [0.000, 5.114, 0.000], [2.557, 2.557, 4.492]],
  "species": ["N", "Tc", "Tc", "N", "Tc", "Cr", "Cr", "Tc"],
  "frac_coords": [[0.250, 0.750, 0.500], [0.375, 0.439, 0.750], [0.189, 0.625, 0.250], [0.500, 0.500, 0.000], [0.875, 0.811, 0.750], [0.750, 0.250, 0.500], [0.000, 0.000, 0.000], [0.561, 0.125, 0.250]]
}

No. 15
{
  "formula": "Cr3TcN",
  "functional": "GGA-PBE",
  "state": "optimized geometry",
  "e_form_raw_ev_per_atom": 2.218,
  "magnetic_moment_mub_per_fu": 8.5,
  "volume_a3_per_atom": 20.285,
  "dos_at_fermi_per_ev_atom": 1.059,
  "sg": "Pm-3m",
  "de_polymorph_mev_per_atom": 2399,
  "lattice_angstrom": [[4.664, 0.000, 0.000], [0.000, 4.664, 0.000], [0.000, 0.000, 4.664]],
  "species": ["N", "Cr", "Tc", "Cr", "Cr"],
  "frac_coords": [[0.500, 0.500, 0.500], [0.500, 0.000, 0.000], [0.000, 0.000, 0.000], [0.000, 0.000, 0.500], [0.000, 0.500, 0.000]]
}

No. 16
{
  "formula": "CrTc3N",
  "functional": "GGA-PBE",
  "state": "optimized geometry",
  "e_form_raw_ev_per_atom": 0.127,
  "magnetic_moment_mub_per_fu": 0.0,
  "volume_a3_per_atom": 12.821,
  "dos_at_fermi_per_ev_atom": 1.276,
  "sg": "Pm-3m",
  "de_polymorph_mev_per_atom": 0,
  "lattice_angstrom": [[-3.506, -1.385, 1.344], [0.081, -2.890, -2.767], [1.928, -2.397, 2.560]],
  "species": ["Tc", "Tc", "N", "Cr", "Tc"],
  "frac_coords": [[0.500, 0.000, 0.000], [0.000, 0.000, 0.500], [0.000, 0.000, 0.000], [0.500, 0.500, 0.500], [0.000, 0.500, 0.000]]
}

No. 17
{
  "formula": "Cr3TcN",
  "functional": "GGA-PBE",
  "state": "optimized geometry",
  "e_form_raw_ev_per_atom": -0.181,
  "magnetic_moment_mub_per_fu": 0.0,
  "volume_a3_per_atom": 11.149,
  "dos_at_fermi_per_ev_atom": 0.867,
  "sg": "Pm-3m",
  "de_polymorph_mev_per_atom": 0,
  "lattice_angstrom": [[-3.625, -0.697, 0.985], [1.202, -1.809, 3.143], [-0.107, 3.292, 1.935]],
  "species": ["Cr", "Cr", "N", "Cr", "Tc"],
  "frac_coords": [[0.500, 0.000, 0.000], [0.000, 0.000, 0.500], [0.000, 0.000, 0.000], [0.000, 0.500, 0.000], [0.500, 0.500, 0.500]]
}

No. 18
{
  "formula": "CrTc2N",
  "functional": "GGA-PBE",
  "state": "optimized geometry",
  "e_form_raw_ev_per_atom": 0.280,
  "magnetic_moment_mub_per_fu": 0.1,
  "volume_a3_per_atom": 11.788,
  "dos_at_fermi_per_ev_atom": 1.163,
  "sg": "R-3m",
  "lattice_angstrom": [[2.744, 0.000, 0.000], [1.372, 2.376, 0.000], [1.372, 0.792, 7.231]],
  "species": ["N", "Tc", "Tc", "Cr"],
  "frac_coords": [[0.000, 0.000, 0.000], [0.266, 0.266, 0.201], [0.734, 0.734, 0.799], [0.500, 0.500, 0.500]]
}

No. 19
{
  "formula": "CrTc3N",
  "functional": "GGA-PBE",
  "state": "optimized geometry",
  "e_form_raw_ev_per_atom": 2.409,
  "magnetic_moment_mub_per_fu": 0.0,
  "volume_a3_per_atom": 16.765,
  "dos_at_fermi_per_ev_atom": 1.127,
  "sg": "Pm-3m",
  "de_polymorph_mev_per_atom": 2281,
  "lattice_angstrom": [[-2.294, 1.913, 3.198], [-2.017, -3.796, 0.823], [3.134, -1.043, 2.872]],
  "species": ["Cr", "Tc", "N", "Tc", "Tc"],
  "frac_coords": [[0.000, 0.000, 0.000], [0.000, 0.500, 0.000], [0.500, 0.500, 0.500], [0.000, 0.000, 0.500], [0.500, 0.000, 0.000]]
}

No. 20
{
  "formula": "CrTcTeN2",
  "functional": "GGA-PBE",
  "state": "optimized geometry",
  "e_form_raw_ev_per_atom": 0.658,
  "magnetic_moment_mub_per_fu": 4.0,
  "volume_a3_per_atom": 17.435,
  "dos_at_fermi_per_ev_atom": 0.808,
  "sg": "P4/mmm",
  "de_polymorph_mev_per_atom": 0,
  "lattice_angstrom": [[-1.697, -3.140, -1.473], [3.185, -0.761, -2.047], [2.081, -3.201, 4.427]],
  "species": ["Te", "N", "Cr", "N", "Tc"],
  "frac_coords": [[0.000, 0.000, 0.500], [0.500, 0.000, 0.000], [0.500, 0.500, 0.500], [0.000, 0.500, 0.000], [0.000, 0.000, 0.000]]
}